! Hf2ScS2 | the Alexandria database | GGA-PBE | relaxed; values from VASP
! Volume ... 19.9 Å³ per atom
! Energy relative to the lowest polymorph listed for this composition ... 1.64 eV/f.u.
! Calculated total energy ... -7.60 eV/atom
! E_form (uncorrected) ... -0.70 eV per atom
&SYSTEM
  ibrav = 0, nat = 5, ntyp = 3
/
ATOMIC_SPECIES
Hf 178.49 Hf.upf
Sc 44.96 Sc.upf
S 32.06 S.upf
ATOMIC_POSITIONS crystal
Hf 0.250 0.750 0.500
Hf 0.750 0.250 0.500
Sc 0.000 0.000 0.000
S 0.383 0.383 0.000
S 0.617 0.617 0.000
CELL_PARAMETERS angstrom
-2.032 2.032 6.012
2.032 -2.032 6.012
2.032 2.032 -6.012